1.
A relaxed Cd2Br2Cl crystal. Source: the Alexandria database, functional PBE.

Results
As for the space-group type: Pnma, No. 62. The value obtained for the uncorrected formation energy is -64.2 kJ/mol of atoms. Its crystal system is orthorhombic. Its total energy is -2.0694 eV per atom.

a = 8.148 Å, b = 5.823 Å, c = 12.788 Å
α = 90.00°, β = 90.00°, γ = 90.00°
Sites, in units of the cell vectors:
Cd 0.089 0.250 0.247
Cd 0.168 0.250 0.578
Cd 0.332 0.750 0.078
Cd 0.411 0.750 0.747
Cd 0.589 0.250 0.253
Cd 0.668 0.250 0.922
Cd 0.832 0.750 0.422
Cd 0.911 0.750 0.753
Br 0.080 0.750 0.241
Br 0.155 0.750 0.583
Br 0.345 0.250 0.083
Br 0.420 0.250 0.741
Br 0.580 0.750 0.259
Br 0.655 0.750 0.917
Br 0.845 0.250 0.417
Br 0.920 0.250 0.759
Cl 0.166 0.750 0.881
Cl 0.334 0.250 0.381
Cl 0.666 0.750 0.619
Cl 0.834 0.250 0.119


2.
A relaxed AlRuSe3 crystal. Source: the Alexandria database, functional PBE.

Results
As for the space-group type: Pm-3m, No. 221. The value obtained for the uncorrected formation energy is 67.3 kJ/mol of atoms. Its crystal system is cubic. Its total energy is -3.9968 eV per atom.

a = 4.834 Å, b = 4.834 Å, c = 4.834 Å
α = 90.00°, β = 90.00°, γ = 90.00°
Sites, in units of the cell vectors:
Al 0.000 0.000 0.000
Ru 0.500 0.500 0.500
Se 0.000 0.000 0.500
Se 0.000 0.500 0.000
Se 0.500 0.000 0.000


3.
A relaxed PrCu9Pd2 crystal. Source: the Alexandria database, functional PBE.

Results
As for the space-group type: R-3m, No. 166. As for the energy of formation: -162 kJ/mol of formula units. Its crystal system is trigonal. Its total energy is -4.4760 eV per atom.

a = 8.416 Å, b = 8.416 Å, c = 8.416 Å
α = 34.60°, β = 34.60°, γ = 34.60°
Sites, in units of the cell vectors:
Pr 0.000 0.000 0.000
Cu 0.081 0.590 0.590
Cu 0.334 0.334 0.334
Cu 0.410 0.410 0.919
Cu 0.410 0.919 0.410
Cu 0.500 0.500 0.500
Cu 0.590 0.081 0.590
Cu 0.590 0.590 0.081
Cu 0.666 0.666 0.666
Cu 0.919 0.410 0.410
Pd 0.146 0.146 0.146
Pd 0.854 0.854 0.854


4.
A relaxed Sc2PaNbC4 crystal. Source: the Alexandria database, functional PBE.

Results
As for the space-group type: P2/m, No. 10. As for the energy of formation: -370 kJ/mol of formula units. Its crystal system is monoclinic. Its total energy is -9.1202 eV per atom.

a = 5.766 Å, b = 3.359 Å, c = 5.892 Å
α = 90.00°, β = 109.86°, γ = 90.00°
Sites, in units of the cell vectors:
Sc 0.000 0.000 0.000
Sc 0.000 0.500 0.500
Pa 0.500 0.000 0.500
Nb 0.500 0.500 0.000
C 0.259 0.000 0.762
C 0.262 0.500 0.236
C 0.738 0.500 0.764
C 0.741 0.000 0.238